{"formula": "Gd3CuSiS7", "functional": "PBE-GGA", "state": "optimized geometry", "e_tot_ev_per_atom": -8.266, "formation_energy_uncorrected_mev_per_atom": -1544, "space_group": "No. 173", "total_magnetization_mub_per_cell": 13.9, "lattice": [[5.730, 0.000, 0.000], [0.000, 10.003, 0.000], [0.000, -5.002, 8.663]], "species": ["Gd", "Gd", "Gd", "Gd", "Gd", "Gd", "Cu", "Cu", "Si", "Si", "S", "S", "S", "S", "S", "S", "S", "S", "S", "S", "S", "S", "S", "S"], "frac_coords": [[0.250, 0.770, 0.126], [0.250, 0.874, 0.643], [0.250, 0.357, 0.230], [0.750, 0.230, 0.874], [0.750, 0.126, 0.357], [0.750, 0.643, 0.770], [0.215, 0.000, 0.000], [0.715, 0.000, 0.000], [0.338, 0.333, 0.667], [0.838, 0.667, 0.333], [0.969, 0.333, 0.667], [0.469, 0.667, 0.333], [0.986, 0.891, 0.414], [0.986, 0.586, 0.477], [0.986, 0.523, 0.109], [0.486, 0.109, 0.586], [0.486, 0.414, 0.523], [0.486, 0.477, 0.891], [0.729, 0.836, 0.091], [0.729, 0.909, 0.745], [0.729, 0.255, 0.164], [0.229, 0.164, 0.909], [0.229, 0.091, 0.255], [0.229, 0.745, 0.836]]}